(1)
# KCaAl2Cr PBE optimized geometry
data_KCaAl2Cr
_chemical_formula_sum 'K1 Ca1 Al2 Cr1'
_cell_length_a 5.700
_cell_length_b 4.894
_cell_length_c 5.700
_cell_angle_alpha 90.00
_cell_angle_beta 90.00
_cell_angle_gamma 90.00
_space_group_name_H-M_alt 'P 1'
_space_group_IT_number 1
loop_
_space_group_symop_operation_xyz
'x,y,z'
loop_
_atom_site_label
_atom_site_type_symbol
_atom_site_fract_x
_atom_site_fract_y
_atom_site_fract_z
_atom_site_occupancy
K1 K 0.500 0.500 0.500 1
Al1 Al 0.000 0.000 0.500 1
Al2 Al 0.500 0.000 0.000 1
Ca1 Ca 0.000 0.000 0.000 1
Cr1 Cr 0.000 0.500 0.000 1
# - total DFT energy (no corrections) (eV/atom) = -2.56
# - SG = No. 123
# - DOS(E_F) (states/eV/cell) = 8.1



(2)
# Ba2SiPb PBE optimized geometry
data_Ba2SiPb
_chemical_formula_sum 'Ba2 Si1 Pb1'
_cell_length_a 6.178
_cell_length_b 6.178
_cell_length_c 6.178
_cell_angle_alpha 128.48
_cell_angle_beta 128.52
_cell_angle_gamma 75.82
_space_group_name_H-M_alt 'P 1'
_space_group_IT_number 1
loop_
_space_group_symop_operation_xyz
'x,y,z'
loop_
_atom_site_label
_atom_site_type_symbol
_atom_site_fract_x
_atom_site_fract_y
_atom_site_fract_z
_atom_site_occupancy
Pb1 Pb 0.750 0.250 0.500 1
Si1 Si 0.250 0.750 0.500 1
Ba1 Ba 0.000 0.000 0.000 1
Ba2 Ba 0.500 0.500 0.000 1
# - ΔE to the lowest computed polymorph (meV/atom) = 195.6
# - total DFT energy (no corrections) (eV/atom) = -3.48
# - SG = No. 139
# - formation energy without anion corrections (eV per atom) = -0.239
# - DOS(E_F) (states/eV/cell) = 1.6



(3)
# LaHPd2Au PBE optimized geometry
data_LaHPd2Au
_chemical_formula_sum 'La1 H1 Pd2 Au1'
_cell_length_a 4.216
_cell_length_b 4.216
_cell_length_c 4.756
_cell_angle_alpha 90.00
_cell_angle_beta 90.00
_cell_angle_gamma 90.00
_space_group_name_H-M_alt 'P 1'
_space_group_IT_number 1
loop_
_space_group_symop_operation_xyz
'x,y,z'
loop_
_atom_site_label
_atom_site_type_symbol
_atom_site_fract_x
_atom_site_fract_y
_atom_site_fract_z
_atom_site_occupancy
Pd1 Pd 0.500 0.000 0.000 1
Pd2 Pd 0.000 0.500 0.000 1
H1 H 0.000 0.000 0.000 1
La1 La 0.000 0.000 0.500 1
Au1 Au 0.500 0.500 0.500 1
# - total DFT energy (no corrections) (eV/atom) = -4.88
# - SG = No. 123
# - DOS(E_F) (states/eV/cell) = 1.5



(4)
# LiCuIrRh2 PBE optimized geometry
data_LiCuIrRh2
_chemical_formula_sum 'Li1 Cu1 Ir1 Rh2'
_cell_length_a 4.080
_cell_length_b 4.155
_cell_length_c 4.080
_cell_angle_alpha 90.00
_cell_angle_beta 90.00
_cell_angle_gamma 90.00
_space_group_name_H-M_alt 'P 1'
_space_group_IT_number 1
loop_
_space_group_symop_operation_xyz
'x,y,z'
loop_
_atom_site_label
_atom_site_type_symbol
_atom_site_fract_x
_atom_site_fract_y
_atom_site_fract_z
_atom_site_occupancy
Li1 Li 0.000 0.000 0.000 1
Cu1 Cu 0.500 0.500 0.500 1
Ir1 Ir 0.000 0.500 0.000 1
Rh1 Rh 0.500 0.000 0.000 1
Rh2 Rh 0.000 0.000 0.500 1
# - total DFT energy (no corrections) (eV/atom) = -5.05
# - SG = No. 123
# - DOS(E_F) (states/eV/cell) = 7.0



(5)
# MgTl2Cl PBE optimized geometry
data_MgTl2Cl
_chemical_formula_sum 'Mg1 Tl2 Cl1'
_cell_length_a 5.427
_cell_length_b 5.427
_cell_length_c 5.427
_cell_angle_alpha 60.00
_cell_angle_beta 60.00
_cell_angle_gamma 60.00
_space_group_name_H-M_alt 'P 1'
_space_group_IT_number 1
loop_
_space_group_symop_operation_xyz
'x,y,z'
loop_
_atom_site_label
_atom_site_type_symbol
_atom_site_fract_x
_atom_site_fract_y
_atom_site_fract_z
_atom_site_occupancy
Tl1 Tl 0.750 0.750 0.750 1
Tl2 Tl 0.000 0.000 0.000 1
Mg1 Mg 0.250 0.250 0.250 1
Cl1 Cl 0.500 0.500 0.500 1
# - ΔE to the lowest computed polymorph (meV/atom) = 343.2
# - total DFT energy (no corrections) (eV/atom) = -2.23
# - SG = No. 216
# - formation energy without anion corrections (eV per atom) = -0.184
# - DOS(E_F) (states/eV/cell) = 4.1



(6)
# Np2Ga3Tc PBE optimized geometry
data_Np2Ga3Tc
_chemical_formula_sum 'Np2 Ga3 Tc1'
_cell_length_a 5.364
_cell_length_b 5.364
_cell_length_c 5.403
_cell_angle_alpha 90.01
_cell_angle_beta 119.72
_cell_angle_gamma 120.03
_space_group_name_H-M_alt 'P 1'
_space_group_IT_number 1
loop_
_space_group_symop_operation_xyz
'x,y,z'
loop_
_atom_site_label
_atom_site_type_symbol
_atom_site_fract_x
_atom_site_fract_y
_atom_site_fract_z
_atom_site_occupancy
Np1 Np 0.745 0.372 0.117 1
Np2 Np 0.255 0.628 0.883 1
Ga1 Ga 0.500 0.000 0.500 1
Ga2 Ga 0.500 0.500 0.500 1
Ga3 Ga 0.000 0.000 0.500 1
Tc1 Tc 0.000 0.000 0.000 1
# - total DFT energy (no corrections) (eV/atom) = -7.71
# - SG = No. 166
# - DOS(E_F) (states/eV/cell) = 11.7



(7)
# TlBS2 PBE optimized geometry
data_TlBS2
_chemical_formula_sum 'Tl2 B2 S4'
_cell_length_a 6.337
_cell_length_b 6.337
_cell_length_c 5.931
_cell_angle_alpha 57.71
_cell_angle_beta 57.71
_cell_angle_gamma 90.00
_space_group_name_H-M_alt 'P 1'
_space_group_IT_number 1
loop_
_space_group_symop_operation_xyz
'x,y,z'
loop_
_atom_site_label
_atom_site_type_symbol
_atom_site_fract_x
_atom_site_fract_y
_atom_site_fract_z
_atom_site_occupancy
S1 S 0.375 0.514 0.750 1
S2 S 0.264 0.625 0.250 1
S3 S 0.875 0.736 0.750 1
S4 S 0.486 0.125 0.250 1
Tl1 Tl 0.000 0.000 0.000 1
Tl2 Tl 0.750 0.250 0.500 1
B1 B 0.500 0.500 0.000 1
B2 B 0.250 0.750 0.500 1
# - total DFT energy (no corrections) (eV/atom) = -4.57
# - SG = No. 122
# - formation energy without anion corrections (eV per atom) = -0.243
# - DOS(E_F) (states/eV/cell) = 0.0



(8)
# ZrMoPt PBE optimized geometry
data_ZrMoPt
_chemical_formula_sum 'Zr1 Mo1 Pt1'
_cell_length_a 4.691
_cell_length_b 4.691
_cell_length_c 2.785
_cell_angle_alpha 90.00
_cell_angle_beta 90.00
_cell_angle_gamma 120.00
_space_group_name_H-M_alt 'P 1'
_space_group_IT_number 1
loop_
_space_group_symop_operation_xyz
'x,y,z'
loop_
_atom_site_label
_atom_site_type_symbol
_atom_site_fract_x
_atom_site_fract_y
_atom_site_fract_z
_atom_site_occupancy
Pt1 Pt 0.667 0.333 0.167 1
Mo1 Mo 0.000 0.000 0.167 1
Zr1 Zr 0.333 0.667 0.667 1
# - ΔE to the lowest computed polymorph (meV/atom) = 315.4
# - total DFT energy (no corrections) (eV/atom) = -8.68
# - SG = No. 187
# - DOS(E_F) (states/eV/cell) = 2.3



(9)
# LiPu2PaS6 PBE optimized geometry
data_LiPu2PaS6
_chemical_formula_sum 'Li1 Pu2 Pa1 S6'
_cell_length_a 6.425
_cell_length_b 6.302
_cell_length_c 6.302
_cell_angle_alpha 90.00
_cell_angle_beta 90.00
_cell_angle_gamma 90.00
_space_group_name_H-M_alt 'P 1'
_space_group_IT_number 1
loop_
_space_group_symop_operation_xyz
'x,y,z'
loop_
_atom_site_label
_atom_site_type_symbol
_atom_site_fract_x
_atom_site_fract_y
_atom_site_fract_z
_atom_site_occupancy
S1 S 0.745 0.761 0.239 1
S2 S 0.745 0.761 0.761 1
S3 S 0.745 0.239 0.761 1
S4 S 0.745 0.239 0.239 1
S5 S 0.172 0.500 0.500 1
S6 S 0.170 0.000 0.000 1
Li1 Li 0.535 0.000 0.000 1
Pu1 Pu 0.002 0.500 0.000 1
Pu2 Pu 0.002 0.000 0.500 1
Pa1 Pa 0.588 0.500 0.500 1
# - total DFT energy (no corrections) (eV/atom) = -7.72
# - SG = No. 99
# - formation energy without anion corrections (eV per atom) = -1.239
# - DOS(E_F) (states/eV/cell) = 27.4



(10)
# Ta2PtBr PBE optimized geometry
data_Ta2PtBr
_chemical_formula_sum 'Ta2 Pt1 Br1'
_cell_length_a 4.712
_cell_length_b 4.712
_cell_length_c 4.712
_cell_angle_alpha 60.00
_cell_angle_beta 60.00
_cell_angle_gamma 60.00
_space_group_name_H-M_alt 'P 1'
_space_group_IT_number 1
loop_
_space_group_symop_operation_xyz
'x,y,z'
loop_
_atom_site_label
_atom_site_type_symbol
_atom_site_fract_x
_atom_site_fract_y
_atom_site_fract_z
_atom_site_occupancy
Br1 Br 0.500 0.500 0.500 1
Ta1 Ta 0.250 0.250 0.250 1
Ta2 Ta 0.000 0.000 0.000 1
Pt1 Pt 0.750 0.750 0.750 1
# - ΔE to the lowest computed polymorph (meV/atom) = 836.9
# - total DFT energy (no corrections) (eV/atom) = -7.10
# - SG = No. 216
# - formation energy without anion corrections (eV per atom) = 0.754
# - DOS(E_F) (states/eV/cell) = 3.9



(11)
# BaRe2Br PBE optimized geometry
data_BaRe2Br
_chemical_formula_sum 'Ba1 Re2 Br1'
_cell_length_a 7.095
_cell_length_b 7.095
_cell_length_c 7.095
_cell_angle_alpha 147.51
_cell_angle_beta 147.51
_cell_angle_gamma 46.60
_space_group_name_H-M_alt 'P 1'
_space_group_IT_number 1
loop_
_space_group_symop_operation_xyz
'x,y,z'
loop_
_atom_site_label
_atom_site_type_symbol
_atom_site_fract_x
_atom_site_fract_y
_atom_site_fract_z
_atom_site_occupancy
Re1 Re 0.000 0.000 0.000 1
Re2 Re 0.500 0.500 0.000 1
Br1 Br 0.750 0.250 0.500 1
Ba1 Ba 0.250 0.750 0.500 1
# - ΔE to the lowest computed polymorph (meV/atom) = 870.3
# - total DFT energy (no corrections) (eV/atom) = -5.98
# - SG = No. 139
# - formation energy without anion corrections (eV per atom) = 1.142
# - DOS(E_F) (states/eV/cell) = 4.3



(12)
# KSb PBE optimized geometry
data_KSb
_chemical_formula_sum 'K2 Sb2'
_cell_length_a 5.457
_cell_length_b 4.621
_cell_length_c 5.785
_cell_angle_alpha 90.00
_cell_angle_beta 90.00
_cell_angle_gamma 90.00
_space_group_name_H-M_alt 'P 1'
_space_group_IT_number 1
loop_
_space_group_symop_operation_xyz
'x,y,z'
loop_
_atom_site_label
_atom_site_type_symbol
_atom_site_fract_x
_atom_site_fract_y
_atom_site_fract_z
_atom_site_occupancy
K1 K 0.000 0.000 0.925 1
K2 K 0.000 0.500 0.408 1
Sb1 Sb 0.500 0.500 0.832 1
Sb2 Sb 0.500 0.000 0.501 1
# - ΔE to the lowest computed polymorph (meV/atom) = 90.0
# - total DFT energy (no corrections) (eV/atom) = -2.96
# - SG = No. 51
# - formation energy without anion corrections (eV per atom) = -0.350
# - DOS(E_F) (states/eV/cell) = 0.8



(13)
# BaBeNi2Sb PBE optimized geometry
data_BaBeNi2Sb
_chemical_formula_sum 'Ba1 Be1 Ni2 Sb1'
_cell_length_a 4.837
_cell_length_b 6.534
_cell_length_c 4.837
_cell_angle_alpha 90.00
_cell_angle_beta 90.00
_cell_angle_gamma 90.00
_space_group_name_H-M_alt 'P 1'
_space_group_IT_number 1
loop_
_space_group_symop_operation_xyz
'x,y,z'
loop_
_atom_site_label
_atom_site_type_symbol
_atom_site_fract_x
_atom_site_fract_y
_atom_site_fract_z
_atom_site_occupancy
Ni1 Ni 0.000 0.000 0.500 1
Ni2 Ni 0.500 0.000 0.000 1
Sb1 Sb 0.000 0.500 0.000 1
Ba1 Ba 0.000 0.000 0.000 1
Be1 Be 0.500 0.500 0.500 1
# - total DFT energy (no corrections) (eV/atom) = -2.34
# - SG = No. 123
# - formation energy without anion corrections (eV per atom) = 1.929
# - DOS(E_F) (states/eV/cell) = 5.3